Below is a crystal of Y2Cu2O5 relaxed with PBEsol, with properties calculated at the SCAN level.

a b c (Å): 6.1699 7.0758 11.0796
angles (deg): 90.00 90.00 90.00
With the nearest neighbours (Å) after each atom.
Atoms (fractional coordinates):
Y1 0.7500 0.6196 0.5208  6 O 2.24-2.33
Y2 0.7500 0.6196 0.9792  6 O 2.24-2.33
Y3 0.2500 0.8804 0.5208  6 O 2.24-2.33
Y4 0.7500 0.1196 0.4792  6 O 2.24-2.33
Y5 0.2500 0.8804 0.9792  6 O 2.24-2.33
Y6 0.7500 0.1196 0.0208  6 O 2.24-2.33
Y7 0.2500 0.3804 0.0208  6 O 2.24-2.33
Y8 0.2500 0.3804 0.4792  6 O 2.24-2.33
O1 0.0961 0.1143 0.0882  1 Cu 1.82
O2 0.0705 0.6439 0.4143  1 Cu 1.83
O3 0.2554 0.3811 0.2500  3 Cu 1.96-2.03
O4 0.0705 0.6439 0.0857  1 Cu 1.83
O5 0.2446 0.8811 0.7500  3 Cu 1.96-2.03
O6 0.4039 0.6143 0.9118  1 Cu 1.82
O7 0.5705 0.8561 0.0857  1 Cu 1.83
O8 0.9295 0.3561 0.9143  1 Cu 1.83
O9 0.9039 0.8857 0.5882  1 Cu 1.82
O10 0.0961 0.1143 0.4118  1 Cu 1.82
O11 0.5961 0.3857 0.0882  1 Cu 1.82
O12 0.4039 0.6143 0.5882  1 Cu 1.82
O13 0.7446 0.6189 0.7500  3 Cu 1.96-2.03
O14 0.9039 0.8857 0.9118  1 Cu 1.82
O15 0.7554 0.1189 0.2500  3 Cu 1.96-2.03
O16 0.5961 0.3857 0.4118  1 Cu 1.82
O17 0.5705 0.8561 0.4143  1 Cu 1.83
O18 0.4295 0.1439 0.9143  1 Cu 1.83
O19 0.4295 0.1439 0.5857  1 Cu 1.83
O20 0.9295 0.3561 0.5857  1 Cu 1.83
Cu1 0.5894 0.8716 0.2500  3 O 1.83-2.03
Cu2 0.4106 0.1284 0.7500  3 O 1.83-2.03
Cu3 0.9301 0.8454 0.7500  4 O 1.82-1.97
Cu4 0.5699 0.3454 0.2500  4 O 1.82-1.97
Cu5 0.9106 0.3716 0.7500  3 O 1.83-2.03
Cu6 0.0699 0.1546 0.2500  4 O 1.82-1.97
Cu7 0.0894 0.6284 0.2500  3 O 1.83-2.03
Cu8 0.4301 0.6546 0.7500  4 O 1.82-1.97

Output
Energy above the most stable polymorph in this dataset = 30 meV/atom
Space group = No. 62
M_tot = 0.00 μB/cell

***

Below is a crystal of YCuO3 relaxed with PBEsol, with properties calculated at the SCAN level.

a b c (Å): 5.1666 6.1432 6.9444
angles (deg): 90.00 90.00 90.00
With the nearest neighbours (Å) after each atom.
Atoms (fractional coordinates):
Cu1 0.0000 0.5000 0.5000  4 O 1.85-1.87
Cu2 0.5000 0.0000 0.5000  4 O 1.85-1.87
Cu3 0.5000 0.0000 0.0000  4 O 1.85-1.87
Cu4 0.0000 0.5000 0.0000  4 O 1.85-1.87
O1 0.7050 0.3398 0.5499  1 Cu 1.85
O2 0.7050 0.3398 0.9501  1 Cu 1.85
O3 0.1216 0.4543 0.7500  2 Cu 1.87
O4 0.7950 0.8398 0.5499  1 Cu 1.85
O5 0.2050 0.1602 0.0499  1 Cu 1.85
O6 0.2950 0.6602 0.0499  1 Cu 1.85
O7 0.7950 0.8398 0.9501  1 Cu 1.85
O8 0.2050 0.1602 0.4501  1 Cu 1.85
O9 0.3784 0.9543 0.7500  2 Cu 1.87
O10 0.8784 0.5457 0.2500  2 Cu 1.87
O11 0.6216 0.0457 0.2500  2 Cu 1.87
O12 0.2950 0.6602 0.4501  1 Cu 1.85
Y1 0.4735 0.3974 0.2500  8 O 2.28-2.45
Y2 0.5265 0.6026 0.7500  8 O 2.28-2.45
Y3 0.0265 0.8974 0.2500  8 O 2.28-2.45
Y4 0.9735 0.1026 0.7500  8 O 2.28-2.45

Output
Raw total energy = -293.6 eV per cell
Space group = No. 62
M_tot = 0.00 μB/cell

***

Below is a crystal of YCuO3 relaxed with PBEsol, with properties calculated at the SCAN level.

a b c (Å): 4.2912 4.2912 4.2912
angles (deg): 90.00 90.00 90.00
With the nearest neighbours (Å) after each atom.
Atoms (fractional coordinates):
Y1 0.0000 0.0000 0.0000  6 O 2.15
O1 0.0000 0.5000 0.0000  2 Y 2.15
O2 0.5000 0.0000 0.0000  2 Y 2.15
O3 0.0000 0.0000 0.5000  2 Y 2.15
Cu1 0.5000 0.5000 0.5000  12 O 3.03

Output
Raw total energy = -66.8 eV per cell
Space group = No. 221
M_tot = 2.00 μB/cell

***

Below is a crystal of Y2Cu2O5 relaxed with PBEsol, with properties calculated at the SCAN level.

a b c (Å): 3.4851 10.7529 12.3635
angles (deg): 90.00 90.00 90.00
With the nearest neighbours (Å) after each atom.
Atoms (fractional coordinates):
O1 0.2760 0.0765 0.4728  1 Cu 1.97
O2 0.7210 0.0727 0.2621  2 Cu 1.92-1.99
O3 0.3450 0.8752 0.1641  2 Cu 1.94
O4 0.7240 0.9235 0.9728  1 Cu 1.97
O5 0.2858 0.3236 0.5652  2 Cu 1.92-1.99
O6 0.2780 0.1740 0.8546  1 Cu 1.97, 1 Y 2.20
O7 0.2220 0.6740 0.8546  1 Cu 1.97, 1 Y 2.20
O8 0.7142 0.6764 0.0652  2 Cu 1.92-1.99
O9 0.7760 0.4235 0.9728  1 Cu 1.97
O10 0.2142 0.8236 0.5652  2 Cu 1.92-1.99
O11 0.7220 0.8260 0.3546  1 Cu 1.97, 1 Y 2.20
O12 0.6550 0.1248 0.6641  2 Cu 1.94
O13 0.8450 0.6248 0.6641  2 Cu 1.94
O14 0.7790 0.5727 0.2621  2 Cu 1.92-1.99
O15 0.2240 0.5765 0.4728  1 Cu 1.97
O16 0.2210 0.4273 0.7621  2 Cu 1.92-1.99
O17 0.7858 0.1764 0.0652  2 Cu 1.92-1.99
O18 0.2790 0.9273 0.7621  2 Cu 1.92-1.99
O19 0.1550 0.3752 0.1641  2 Cu 1.94
O20 0.7780 0.3260 0.3546  1 Cu 1.97, 1 Y 2.20
Y1 0.2817 0.4574 0.3282  6 O 2.21-2.30
Y2 0.2832 0.2922 0.0003  6 O 2.20-2.29
Y3 0.7832 0.2078 0.5003  6 O 2.20-2.29
Y4 0.2183 0.9574 0.3282  6 O 2.21-2.30
Y5 0.2168 0.7922 0.0003  6 O 2.20-2.29
Y6 0.7817 0.0426 0.8282  6 O 2.21-2.30
Y7 0.7183 0.5426 0.8282  6 O 2.21-2.30
Y8 0.7168 0.7078 0.5003  6 O 2.20-2.29
Cu1 0.6542 0.7381 0.2161  4 O 1.92-1.99
Cu2 0.1542 0.7619 0.7161  4 O 1.92-1.99
Cu3 0.1590 0.4889 0.6116  4 O 1.92-1.99
Cu4 0.8410 0.5111 0.1116  4 O 1.92-1.99
Cu5 0.6590 0.0111 0.1116  4 O 1.92-1.99
Cu6 0.3458 0.2619 0.7161  4 O 1.92-1.99
Cu7 0.3410 0.9889 0.6116  4 O 1.92-1.99
Cu8 0.8458 0.2381 0.2161  4 O 1.92-1.99

Output
Energy above the most stable polymorph in this dataset = 0 meV/atom
Space group = No. 33
M_tot = 8.00 μB/cell

***

Below is a crystal of YCu7O12 relaxed with PBEsol, with properties calculated at the SCAN level.

a b c (Å): 6.2427 6.2427 6.2427
angles (deg): 109.47 109.47 109.47
With the nearest neighbours (Å) after each atom.
Atoms (fractional coordinates):
Cu1 0.0000 0.0000 0.5000  6 O 1.94
Cu2 0.5000 0.0000 0.5000  4 O 1.86
Cu3 0.5000 0.5000 0.5000  6 O 1.94
Cu4 0.5000 0.5000 0.0000  4 O 1.86
Cu5 0.0000 0.5000 0.5000  4 O 1.86
Cu6 0.5000 0.0000 0.0000  6 O 1.94
Cu7 0.0000 0.5000 0.0000  6 O 1.94
O1 0.3058 0.8305 0.1363  3 Cu 1.86-1.94
O2 0.1695 0.8637 0.6942  3 Cu 1.86-1.94
O3 0.8637 0.6942 0.1695  3 Cu 1.86-1.94
O4 0.1695 0.4753 0.3058  3 Cu 1.86-1.94
O5 0.8305 0.1363 0.3058  3 Cu 1.86-1.94
O6 0.6942 0.8305 0.5247  3 Cu 1.86-1.94
O7 0.3058 0.1695 0.4753  3 Cu 1.86-1.94
O8 0.4753 0.3058 0.1695  3 Cu 1.86-1.94
O9 0.5247 0.6942 0.8305  3 Cu 1.86-1.94
O10 0.8305 0.5247 0.6942  3 Cu 1.86-1.94
O11 0.1363 0.3058 0.8305  3 Cu 1.86-1.94
O12 0.6942 0.1695 0.8637  3 Cu 1.86-1.94
Y1 0.0000 0.0000 0.0000  12 O 2.52

Output
Raw total energy = -230.2 eV per cell
Space group = No. 204
M_tot = 0.00 μB/cell

***

Below is a crystal of Cu3Os relaxed with PBEsol, with properties calculated at the SCAN level.

a b c (Å): 2.5617 2.5617 7.3976
angles (deg): 90.00 90.00 90.00
With the nearest neighbours (Å) after each atom.
Atoms (fractional coordinates):
Cu1 0.0000 0.0000 0.2390  8 Cu 2.53-2.56, 4 Os 2.65
Cu2 0.0000 0.0000 0.7610  8 Cu 2.53-2.56, 4 Os 2.65
Cu3 0.5000 0.5000 0.0000  12 Cu 2.53-2.56
Os1 0.5000 0.5000 0.5000  4 Os 2.56, 8 Cu 2.65

Output
Energy above the most stable polymorph in this dataset = 80 meV/atom
Space group = No. 123
M_tot = 0.00 μB/cell
Formation energy from the elements = 0.274 eV per atom

***

Below is a crystal of CuOs3 relaxed with PBEsol, with properties calculated at the SCAN level.

a b c (Å): 2.6907 4.5837 4.6548
angles (deg): 99.15 106.80 90.00
With the nearest neighbours (Å) after each atom.
Atoms (fractional coordinates):
Os1 0.2436 0.7496 0.4872  3 Cu 2.62-2.73, 9 Os 2.65-2.72
Os2 0.5000 0.5000 0.0000  8 Os 2.65-2.72, 4 Cu 2.66
Os3 0.7564 0.2504 0.5128  3 Cu 2.62-2.73, 9 Os 2.65-2.72
Cu1 0.0000 0.0000 0.0000  10 Os 2.62-2.73, 2 Cu 2.69

Output
Energy above the most stable polymorph in this dataset = 0 meV/atom
Space group = No. 12
M_tot = 0.00 μB/cell
Formation energy from the elements = 0.337 eV per atom

***

Below is a crystal of CuOs3 relaxed with PBEsol, with properties calculated at the SCAN level.

a b c (Å): 2.8263 4.3491 5.0802
angles (deg): 115.34 106.15 90.00
With the nearest neighbours (Å) after each atom.
Atoms (fractional coordinates):
Cu1 0.0000 0.0000 0.0000  8 Os 2.48-2.59
Os1 0.7337 0.2337 0.4674  2 Cu 2.48, 6 Os 2.61-2.72
Os2 0.5000 0.5000 0.0000  4 Cu 2.59, 6 Os 2.72-2.83
Os3 0.2663 0.7663 0.5326  2 Cu 2.48, 6 Os 2.61-2.72

Output
Energy above the most stable polymorph in this dataset = 199 meV/atom
Space group = No. 71
M_tot = 0.00 μB/cell
Formation energy from the elements = 0.536 eV per atom

***

Below is a crystal of CuOs relaxed with PBEsol, with properties calculated at the SCAN level.

a b c (Å): 2.5808 4.2079 5.0988
angles (deg): 90.00 104.66 90.00
With the nearest neighbours (Å) after each atom.
Atoms (fractional coordinates):
Cu1 0.1797 0.2500 0.3594  7 Os 2.53-2.73, 6 Cu 2.58-2.83
Cu2 0.8203 0.7500 0.6406  7 Os 2.53-2.73, 6 Cu 2.58-2.83
Os1 0.5638 0.7500 0.1277  4 Os 2.45-2.58, 7 Cu 2.53-2.73
Os2 0.4362 0.2500 0.8723  4 Os 2.45-2.58, 7 Cu 2.53-2.73

Output
Energy above the most stable polymorph in this dataset = 297 meV/atom
Space group = No. 63
M_tot = 0.00 μB/cell
Formation energy from the elements = 0.531 eV per atom

***

Below is a crystal of CuOs relaxed with PBEsol, with properties calculated at the SCAN level.

a b c (Å): 2.7220 2.7220 6.9074
angles (deg): 90.00 90.00 90.00
With the nearest neighbours (Å) after each atom.
Atoms (fractional coordinates):
Os1 0.0000 0.5000 0.3741  8 Os 2.59-2.72, 4 Cu 2.65
Os2 0.5000 0.0000 0.6259  8 Os 2.59-2.72, 4 Cu 2.65
Cu1 0.5000 0.0000 0.1113  8 Cu 2.46-2.72, 4 Os 2.65
Cu2 0.0000 0.5000 0.8887  8 Cu 2.46-2.72, 4 Os 2.65

Output
Energy above the most stable polymorph in this dataset = 0 meV/atom
Space group = No. 129
M_tot = 0.00 μB/cell
Formation energy from the elements = 0.234 eV per atom

***

Below is a crystal of Cu3Os relaxed with PBEsol, with properties calculated at the SCAN level.

a b c (Å): 2.6053 2.6053 8.4769
angles (deg): 81.16 81.16 60.00
With the nearest neighbours (Å) after each atom.
Atoms (fractional coordinates):
Cu1 0.2529 0.2529 0.2413  9 Cu 2.51-2.61, 3 Os 2.63
Cu2 0.7471 0.7471 0.7587  9 Cu 2.51-2.61, 3 Os 2.63
Cu3 0.0000 0.0000 0.0000  12 Cu 2.51-2.61
Os1 0.5000 0.5000 0.5000  6 Os 2.61, 6 Cu 2.63

Output
Energy above the most stable polymorph in this dataset = 0 meV/atom
Space group = No. 166
M_tot = 0.00 μB/cell
Formation energy from the elements = 0.194 eV per atom

***

Below is a crystal of Cu3Os relaxed with PBEsol, with properties calculated at the SCAN level.

a b c (Å): 2.5321 4.4105 5.0508
angles (deg): 115.89 104.52 90.00
With the nearest neighbours (Å) after each atom.
Atoms (fractional coordinates):
Cu1 0.7591 0.7591 0.5182  8 Cu 2.45-2.55, 2 Os 2.59
Cu2 0.2409 0.2409 0.4818  8 Cu 2.45-2.55, 2 Os 2.59
Cu3 0.5000 0.0000 0.0000  6 Cu 2.45-2.53, 4 Os 2.54
Os1 0.0000 0.5000 0.0000  2 Os 2.53, 8 Cu 2.54-2.59

Output
Energy above the most stable polymorph in this dataset = 117 meV/atom
Space group = No. 71
M_tot = 0.00 μB/cell
Formation energy from the elements = 0.312 eV per atom